# LaFeAg2 | Alexandria | PBE | relaxed
data_LaFeAg2
_space_group_name_H-M_alt 'P 1'
_space_group_IT_number 1
_cell_length_a 3.4720
_cell_length_b 3.4720
_cell_length_c 6.9915
_cell_angle_alpha 90.00
_cell_angle_beta 90.00
_cell_angle_gamma 90.00
loop_
_space_group_symop_operation_xyz
'x,y,z'
loop_
_atom_site_label
_atom_site_type_symbol
_atom_site_fract_x
_atom_site_fract_y
_atom_site_fract_z
_atom_site_occupancy
Ag1 Ag 0.5000 0.5000 0.2659 1
La1 La 0.5000 0.5000 0.7343 1
Fe1 Fe 0.0000 0.0000 0.4498 1
Ag2 Ag 0.0000 0.0000 0.0500 1
# ΔE_f (meV/atom): 187
# E_tot (eV per atom): -4.586
# Total moment (Bohr magnetons per cell): 2.58